Record 1
Below is crystalline Fe9B4Ir11 at its relaxed geometry, with properties calculated at the PBE level.

The structure belongs to space group Cmmm (No. 65); the cell edges are 12.654, 16.941 and 2.758 Å and the angles 90.00°, 90.00° and 90.00°. The asymmetric unit holds Fe at (0.000, 0.000, 0.000), Fe at (0.119, 0.265, 0.000), Fe at (0.148, 0.426, 0.000), B at (0.123, 0.095, 0.000), Ir at (0.000, 0.148, 0.500), Ir at (0.000, 0.349, 0.500), Ir at (0.000, 0.500, 0.500), Ir at (0.192, 0.000, 0.500) and Ir at (0.223, 0.163, 0.500).

---

Record 2
Below is crystalline TiNb2Pd at its relaxed geometry, with properties calculated at the PBE level.

The structure belongs to space group Fm-3m (No. 225); the cell edges are 6.476, 6.476 and 6.476 Å and the angles 90.00°, 90.00° and 90.00°. The asymmetric unit holds Ti at (0.000, 0.000, 0.000), Nb at (0.250, 0.250, 0.250) and Pd at (0.000, 0.000, 0.500).

---

Record 3
Below is crystalline AcPu2Ge6 at its relaxed geometry, with properties calculated at the PBE level.

The structure belongs to space group P6/mmm (No. 191); the cell edges are 7.6894, 7.6894 and 4.0996 Å and the angles 90.00°, 90.00° and 120.00°. The asymmetric unit holds Ac at (0.0000, 0.0000, 0.0000), Pu at (0.3333, 0.6667, 0.0000) and Ge at (0.0000, 0.3392, 0.5000).

---

Record 4
Below is crystalline LiTh2Tl at its relaxed geometry, with properties calculated at the PBE level.

The structure belongs to space group R-3m (No. 166, hexagonal axes); the cell edges are 3.3654, 3.3654 and 37.2846 Å and the angles 90.00°, 90.00° and 120.00°. The asymmetric unit holds Li at (0.0000, 0.0000, 0.0000), Th at (0.0000, 0.0000, 0.0893) and Tl at (0.0000, 0.0000, 0.5000).

---

no.,formation energy from the elements (eV per atom)
1,-0.085
2,-0.016
3,-0.377
4,0.203